DFT (PBE-GGA) results for a geometry-optimized YCuPt2 structure.

Crystal system: cubic
Space-group type: No. 216
Energy of formation in kcal/mol of atoms: -13.518

```
4
Lattice="0.692 4.118 2.004 2.378 0.275 3.965 4.235 1.875 0.035" Properties=species:S:1:pos:R:3 pbc="T T T"
Cu 1.826 1.567 1.501
Pt 3.652 3.134 3.002
Pt 5.479 4.702 4.503
Y 0.000 0.000 0.000
```

***

DFT (PBE-GGA) results for a geometry-optimized YZnCuPt structure.

Crystal system: cubic
Space-group type: No. 216
Energy of formation in kcal/mol of atoms: -12.629

```
4
Lattice="0.000 3.281 3.281 3.281 0.000 3.281 3.281 3.281 0.000" Properties=species:S:1:pos:R:3 pbc="T T T"
Cu 4.922 4.922 4.922
Pt 1.641 1.641 1.641
Y 3.281 3.281 3.281
Zn 0.000 0.000 0.000
```

***

DFT (PBE-GGA) results for a geometry-optimized YZnCuPt structure.

Crystal system: cubic
Space-group type: No. 216
Energy of formation in kcal/mol of atoms: -10.436

```
4
Lattice="3.875 -2.184 1.382 2.978 2.136 2.874 0.416 -1.437 4.411" Properties=species:S:1:pos:R:3 pbc="T T T"
Cu 5.452 -1.113 6.500
Pt 3.635 -0.742 4.333
Y 1.817 -0.371 2.167
Zn 0.000 0.000 0.000
```

***

DFT (PBE-GGA) results for a geometry-optimized ZnCu2Pt structure.

Crystal system: orthorhombic
Space-group type: No. 59
Energy of formation in kcal/mol of atoms: -5.898

```
8
Lattice="4.324 0.000 0.000 0.000 5.284 0.000 0.000 0.000 4.669" Properties=species:S:1:pos:R:3 pbc="T T T"
Cu 2.162 1.325 1.594
Cu 2.162 3.958 1.594
Cu 0.000 1.317 3.075
Cu 0.000 3.967 3.075
Pt 0.000 2.642 0.775
Pt 2.162 0.000 3.895
Zn 0.000 0.000 0.776
Zn 2.162 2.642 3.893
```